[1]
Here is an optimized crystal structure of LaTb12Tm2 from Alexandria via LeMat-Bulk. Energies are from GGA-PBE.

a b c (Å): 6.392 6.392 25.216
angles (deg): 90.00 90.00 90.00
Sites, in units of the cell vectors:
1 La 0.250 0.750 0.000
2 La 0.750 0.250 0.000
3 Tb 0.068 0.568 0.119
4 Tb 0.068 0.932 0.881
5 Tb 0.082 0.582 0.439
6 Tb 0.082 0.918 0.561
7 Tb 0.250 0.250 0.219
8 Tb 0.250 0.250 0.340
9 Tb 0.250 0.250 0.660
10 Tb 0.250 0.250 0.781
11 Tb 0.418 0.582 0.561
12 Tb 0.418 0.918 0.439
13 Tb 0.432 0.568 0.881
14 Tb 0.432 0.932 0.119
15 Tb 0.568 0.068 0.881
16 Tb 0.568 0.432 0.119
17 Tb 0.582 0.082 0.561
18 Tb 0.582 0.418 0.439
19 Tb 0.750 0.750 0.219
20 Tb 0.750 0.750 0.340
21 Tb 0.750 0.750 0.660
22 Tb 0.750 0.750 0.781
23 Tb 0.918 0.082 0.439
24 Tb 0.918 0.418 0.561
25 Tb 0.932 0.068 0.119
26 Tb 0.932 0.432 0.881
27 Tm 0.250 0.750 0.277
28 Tm 0.250 0.750 0.723
29 Tm 0.750 0.250 0.277
30 Tm 0.750 0.250 0.723

Summary:
V = 1030.3 Å³ per cell
crystal system = tetragonal
calculated density = 7.68 g cm⁻³
density of states at the Fermi level = 18.924 states/eV/f.u.
energy of formation from the pure elements = 4.69 eV per formula unit

[2]
Here is an optimized crystal structure of Zn2FeSb from Alexandria via LeMat-Bulk. Energies are from GGA-PBE.

a b c (Å): 5.172 10.084 3.098
angles (deg): 90.00 121.59 90.00
Sites, in units of the cell vectors:
1 Zn 0.250 0.250 0.000
2 Zn 0.250 0.750 0.000
3 Zn 0.750 0.250 0.000
4 Zn 0.750 0.750 0.000
5 Fe 0.000 0.000 0.000
6 Fe 0.500 0.500 0.000
7 Sb 0.000 0.500 0.000
8 Sb 0.500 0.000 0.000

Summary:
V = 137.6 Å³ per cell
crystal system = monoclinic
uncorrected energy = -3.52 eV per atom
calculated density = 7.44 g cm⁻³
density of states at the Fermi level = 2.869 states/eV/f.u.